Density functional theory data (PBE) for a relaxed structure of NaSiAgSe2S.

Geometry as POSCAR:
```
NaSiAgSe2S
1.0
1.788 -6.967 0.000
1.788 6.967 0.000
0.000 0.000 10.282
Se S Na Ag Si
4 2 2 2 2
Direct
0.626 0.374 0.990
0.374 0.626 0.490
0.374 0.626 0.010
0.626 0.374 0.510
0.040 0.960 0.250
0.960 0.040 0.750
0.293 0.707 0.750
0.707 0.293 0.250
0.396 0.604 0.250
0.604 0.396 0.750
0.000 0.000 0.500
0.000 0.000 0.000
```

Computed properties:
Electronic total energy (Ha/atom): -0.1377
SG: No. 63
Mass density (Mg/m³): 4.525